No. 1
A plane-wave DFT calculation with PBE-GGA was carried out for TbNdTh2Pt4 after structural relaxation.

Results
The calculation puts the energy of formation from the pure elements at -1.1666 eV per atom.

Structure (POSCAR):
```
TbNdTh2Pt4
1.0
5.891 0.321 0.000
-0.321 5.891 0.000
-2.785 -3.106 5.899
Th Pt Tb Nd
2 4 1 1
direct
0.687 0.187 0.500 Th
0.187 0.687 0.500 Th
0.938 0.437 0.000 Pt
0.683 0.683 0.493 Pt
0.437 0.938 0.000 Pt
0.190 0.190 0.507 Pt
0.438 0.438 0.000 Tb
0.937 0.937 0.000 Nd
```

No. 2
A plane-wave DFT calculation with PBE-GGA was carried out for Nd8TcPt2 after structural relaxation.

Results
The calculation puts the energy of formation from the pure elements at -0.3181 eV per atom.

Structure (POSCAR):
```
Nd8TcPt2
1.0
6.111 0.026 -1.050
-2.051 6.935 -3.019
-0.156 -0.223 7.832
Pt Nd Tc
2 8 1
direct
0.494 0.316 0.695 Pt
0.494 0.695 0.316 Pt
0.374 0.667 0.918 Nd
0.585 0.337 0.085 Nd
0.815 0.646 0.646 Nd
0.585 0.085 0.337 Nd
0.992 0.207 0.791 Nd
0.992 0.791 0.207 Nd
0.374 0.918 0.667 Nd
0.174 0.362 0.362 Nd
0.120 0.009 0.009 Tc
```

No. 3
A plane-wave DFT calculation with PBE-GGA was carried out for Nd5Te2Pt2 after structural relaxation.

Results
The calculation puts the energy at -105.14 eV/cell.

Structure (POSCAR):
```
Nd5Te2Pt2
1.0
-4.211 1.188 6.778
-5.548 -5.353 -2.508
1.977 -5.311 6.961
Nd Pt Te
10 4 4
direct
0.780 0.842 0.757 Nd
0.500 0.500 0.000 Nd
0.463 0.158 0.757 Nd
0.537 0.842 0.243 Nd
0.280 0.658 0.757 Nd
0.220 0.158 0.243 Nd
0.720 0.342 0.243 Nd
0.000 0.000 0.000 Nd
0.037 0.658 0.243 Nd
0.963 0.342 0.757 Nd
0.861 0.634 0.000 Pt
0.361 0.866 0.000 Pt
0.139 0.366 0.000 Pt
0.639 0.134 0.000 Pt
0.705 0.500 0.591 Te
0.295 0.500 0.409 Te
0.795 0.000 0.409 Te
0.205 0.000 0.591 Te
```

No. 4
A plane-wave DFT calculation with PBE-GGA was carried out for Nd5Te2Pt after structural relaxation.

Results
The calculation puts the energy at -84.49 eV/cell.

Structure (POSCAR):
```
Nd5Te2Pt
1.0
6.115 0.000 0.000
-3.058 6.237 0.000
0.000 0.000 14.282
Nd Te Pt
10 4 2
direct
0.382 0.764 0.098 Nd
0.618 0.236 0.598 Nd
0.669 0.339 0.250 Nd
0.331 0.661 0.750 Nd
0.060 0.121 0.117 Nd
0.618 0.236 0.902 Nd
0.940 0.879 0.617 Nd
0.382 0.764 0.402 Nd
0.940 0.879 0.883 Nd
0.060 0.121 0.383 Nd
0.194 0.388 0.932 Te
0.806 0.612 0.432 Te
0.806 0.612 0.068 Te
0.194 0.388 0.568 Te
0.227 0.453 0.250 Pt
0.773 0.547 0.750 Pt
```

No. 5
A plane-wave DFT calculation with PBE-GGA was carried out for Nd2TePt after structural relaxation.

Results
The calculation puts the energy at -47.50 eV/cell.

Structure (POSCAR):
```
Nd2TePt
1.0
4.252 0.000 0.000
-2.126 3.682 0.000
0.000 0.000 15.303
Pt Nd Te
2 4 2
direct
0.000 0.000 0.000 Pt
0.000 0.000 0.500 Pt
0.333 0.667 0.394 Nd
0.667 0.333 0.606 Nd
0.333 0.667 0.106 Nd
0.667 0.333 0.894 Nd
0.667 0.333 0.250 Te
0.333 0.667 0.750 Te
```

No. 6
A plane-wave DFT calculation with PBE-GGA was carried out for Nd5Te4Pt after structural relaxation.

Results
The calculation puts the energy at -56.08 eV/cell.

Structure (POSCAR):
```
Nd5Te4Pt
1.0
-0.807 4.204 4.686
0.948 -2.919 7.080
6.441 3.703 2.086
Nd Te Pt
5 4 1
direct
0.501 0.000 0.000 Nd
0.098 0.629 0.177 Nd
0.904 0.371 0.823 Nd
0.275 0.823 0.629 Nd
0.727 0.177 0.371 Nd
0.808 0.782 0.604 Te
0.590 0.604 0.218 Te
0.194 0.218 0.396 Te
0.412 0.396 0.782 Te
0.001 0.000 0.000 Pt
```

No. 7
A plane-wave DFT calculation with PBE-GGA was carried out for Nd5TePt2 after structural relaxation.

Results
The calculation puts the energy at -93.08 eV/cell.

Structure (POSCAR):
```
Nd5TePt2
1.0
2.851 3.874 -6.531
0.608 -7.071 -3.929
-8.210 2.361 2.854
Te Pt Nd
2 4 10
direct
0.750 0.750 0.500 Te
0.250 0.250 0.500 Te
0.361 0.861 0.000 Pt
0.139 0.361 0.000 Pt
0.861 0.639 0.000 Pt
0.639 0.139 0.000 Pt
0.982 0.482 0.275 Nd
0.293 0.793 0.275 Nd
0.707 0.207 0.725 Nd
0.482 0.293 0.275 Nd
0.207 0.018 0.725 Nd
0.793 0.982 0.275 Nd
0.000 0.000 0.000 Nd
0.518 0.707 0.725 Nd
0.500 0.500 0.000 Nd
0.018 0.518 0.725 Nd
```

No. 8
A plane-wave DFT calculation with PBE-GGA was carried out for Nd7Te2Pt2 after structural relaxation.

Results
The calculation puts the energy at -62.38 eV/cell.

Structure (POSCAR):
```
Nd7Te2Pt2
1.0
-1.871 -1.102 -3.438
-9.464 0.407 2.615
-5.219 8.046 -2.143
Nd Te Pt
7 2 2
direct
0.182 0.719 0.917 Nd
0.628 0.477 0.268 Nd
0.144 0.113 0.598 Nd
0.500 0.021 0.979 Nd
0.856 0.402 0.887 Nd
0.818 0.083 0.281 Nd
0.372 0.732 0.523 Nd
0.500 0.355 0.645 Te
0.000 0.759 0.241 Te
0.738 0.858 0.665 Pt
0.262 0.335 0.142 Pt
```

No. 9
A plane-wave DFT calculation with PBE-GGA was carried out for Nd2TePt after structural relaxation.

Results
The calculation puts the energy at -23.70 eV/cell.

Structure (POSCAR):
```
Nd2TePt
1.0
4.288 0.000 0.000
2.144 3.714 0.000
2.144 1.238 7.582
Nd Te Pt
2 1 1
direct
0.070 0.070 0.789 Nd
0.263 0.263 0.210 Nd
0.500 0.500 0.501 Te
0.667 0.667 0.000 Pt
```

No. 10
A plane-wave DFT calculation with PBE-GGA was carried out for NdTePt4 after structural relaxation.

Results
The calculation puts the energy at -35.58 eV/cell.

Structure (POSCAR):
```
NdTePt4
1.0
5.492 0.000 0.000
2.746 4.757 0.000
2.746 1.586 4.485
Pt Te Nd
4 1 1
direct
0.625 0.625 0.125 Pt
0.125 0.625 0.625 Pt
0.625 0.625 0.625 Pt
0.625 0.125 0.625 Pt
0.000 0.000 0.000 Te
0.250 0.250 0.250 Nd
```

No. 11
A plane-wave DFT calculation with PBE-GGA was carried out for Nd5Te2Pt after structural relaxation.

Results
The calculation puts the energy at -88.17 eV/cell.

Structure (POSCAR):
```
Nd5Te2Pt
1.0
-2.860 -2.895 -1.047
5.444 -6.194 2.253
-4.962 0.285 12.773
Nd Te Pt
10 4 2
direct
0.000 0.165 0.811 Nd
0.000 0.500 0.000 Nd
0.000 0.000 0.500 Nd
0.500 0.825 0.911 Nd
0.500 0.675 0.411 Nd
0.000 0.335 0.311 Nd
0.500 0.325 0.589 Nd
0.000 0.835 0.189 Nd
0.500 0.175 0.089 Nd
0.000 0.665 0.689 Nd
0.500 0.457 0.820 Te
0.500 0.543 0.180 Te
0.500 0.957 0.680 Te
0.500 0.043 0.320 Te
0.000 0.000 0.000 Pt
0.000 0.500 0.500 Pt
```

No. 12
A plane-wave DFT calculation with PBE-GGA was carried out for Nd8Te2Pt3 after structural relaxation.

Results
The calculation puts the energy at -73.56 eV/cell.

Structure (POSCAR):
```
Nd8Te2Pt3
1.0
7.236 0.000 0.273
0.000 8.367 0.000
-2.624 -4.184 7.582
Nd Te Pt
8 2 3
direct
0.115 0.404 0.807 Nd
0.399 0.353 0.211 Nd
0.601 0.647 0.789 Nd
0.885 0.596 0.193 Nd
0.601 0.142 0.789 Nd
0.399 0.858 0.211 Nd
0.098 0.900 0.801 Nd
0.902 0.100 0.199 Nd
0.661 0.747 0.495 Te
0.339 0.253 0.505 Te
0.000 0.745 0.000 Pt
0.500 0.000 0.000 Pt
0.000 0.255 0.000 Pt
```

No. 13
A plane-wave DFT calculation with PBE-GGA was carried out for Nd2TePt after structural relaxation.

Results
The calculation puts the energy at -23.74 eV/cell.

Structure (POSCAR):
```
Nd2TePt
1.0
4.270 0.000 0.000
-2.135 3.693 -0.004
0.000 -2.467 7.578
Te Nd Pt
1 2 1
direct
0.500 0.500 0.000 Te
0.738 0.976 0.714 Nd
0.262 0.024 0.286 Nd
0.000 0.500 0.500 Pt
```

No. 14
A plane-wave DFT calculation with PBE-GGA was carried out for NdTe2Pt after structural relaxation.

Results
The calculation puts the energy at -18.29 eV/cell.

Structure (POSCAR):
```
NdTe2Pt
1.0
3.962 0.000 0.000
1.981 3.431 0.000
1.981 1.144 9.221
Te Nd Pt
2 1 1
direct
0.886 0.886 0.341 Te
0.114 0.114 0.659 Te
0.000 0.000 0.000 Nd
0.500 0.500 0.500 Pt
```

No. 15
A plane-wave DFT calculation with PBE-GGA was carried out for Nd4TePt2 after structural relaxation.

Results
The calculation puts the energy at -81.81 eV/cell.

Structure (POSCAR):
```
Nd4TePt2
1.0
8.893 0.316 -0.154
-0.325 8.892 0.153
-4.171 -4.709 6.270
Nd Pt Te
8 4 2
direct
0.857 0.143 0.714 Nd
0.393 0.607 0.214 Nd
0.393 0.179 0.786 Nd
0.821 0.607 0.214 Nd
0.393 0.607 0.786 Nd
0.857 0.571 0.714 Nd
0.857 0.143 0.286 Nd
0.429 0.143 0.286 Nd
0.625 0.375 0.750 Pt
0.625 0.875 0.250 Pt
0.625 0.375 0.250 Pt
0.125 0.375 0.750 Pt
0.250 0.750 0.500 Te
0.000 0.000 0.000 Te
```

No. 16
A plane-wave DFT calculation with PBE-GGA was carried out for NdThPt after structural relaxation.

Results
The calculation puts the energy of formation from the pure elements at -0.5770 eV per atom.

Structure (POSCAR):
```
NdThPt
1.0
5.020 0.000 0.000
2.510 4.348 0.000
2.510 1.449 4.099
Th Nd Pt
1 1 1
direct
0.500 0.500 0.500 Th
0.000 0.000 0.000 Nd
0.250 0.250 0.250 Pt
```

No. 17
A plane-wave DFT calculation with PBE-GGA was carried out for NdThPt after structural relaxation.

Results
The calculation puts the energy of formation from the pure elements at -0.6284 eV per atom.

Structure (POSCAR):
```
NdThPt
1.0
4.497 0.000 0.000
0.000 7.596 0.000
0.000 0.000 10.717
Nd Pt Th
4 4 4
direct
0.502 0.606 0.882 Nd
0.002 0.606 0.618 Nd
0.502 0.394 0.382 Nd
0.002 0.394 0.118 Nd
0.002 0.865 0.853 Pt
0.502 0.135 0.147 Pt
0.002 0.135 0.353 Pt
0.502 0.865 0.647 Pt
0.502 0.887 0.381 Th
0.002 0.887 0.119 Th
0.002 0.113 0.619 Th
0.502 0.113 0.881 Th
```

No. 18
A plane-wave DFT calculation with PBE-GGA was carried out for NdThPt2 after structural relaxation.

Results
The calculation puts the energy of formation from the pure elements at -1.0263 eV per atom.

Structure (POSCAR):
```
NdThPt2
1.0
-3.507 -0.451 -3.693
-4.881 -0.924 1.209
-3.526 3.648 -0.637
Pt Th Nd
2 1 1
direct
0.750 0.750 0.750 Pt
0.250 0.250 0.250 Pt
0.000 0.000 0.000 Th
0.500 0.500 0.500 Nd
```

No. 19
A plane-wave DFT calculation with PBE-GGA was carried out for NdTh2Pt after structural relaxation.

Results
The calculation puts the energy of formation from the pure elements at -0.4218 eV per atom.

Structure (POSCAR):
```
NdTh2Pt
1.0
3.906 0.000 0.000
1.953 3.383 0.000
1.953 1.128 9.499
Th Nd Pt
2 1 1
direct
0.066 0.066 0.802 Th
0.269 0.269 0.194 Th
0.499 0.499 0.504 Nd
0.667 0.667 0.999 Pt
```

No. 20
A plane-wave DFT calculation with PBE-GGA was carried out for NdThPt2 after structural relaxation.

Results
The calculation puts the energy of formation from the pure elements at -1.2029 eV per atom.

Structure (POSCAR):
```
NdThPt2
1.0
3.648 0.000 -1.331
0.000 4.517 0.000
0.083 0.000 5.907
Nd Th Pt
1 1 2
direct
0.445 0.500 0.427 Nd
0.716 0.000 0.974 Th
0.177 0.500 0.895 Pt
0.993 0.000 0.523 Pt
```

No. 21
A plane-wave DFT calculation with PBE-GGA was carried out for NdThPt after structural relaxation.

Results
The calculation puts the energy of formation from the pure elements at -0.5246 eV per atom.

Structure (POSCAR):
```
NdThPt
1.0
4.072 0.000 0.000
0.000 4.800 0.000
0.000 -2.400 4.157
Pt Nd Th
1 1 1
direct
0.018 0.000 0.000 Pt
0.706 0.667 0.333 Nd
0.275 0.333 0.667 Th
```

No. 22
A plane-wave DFT calculation with PBE-GGA was carried out for NdTh2Pt9 after structural relaxation.

Results
The calculation puts the energy of formation from the pure elements at -0.9582 eV per atom.

Structure (POSCAR):
```
NdTh2Pt9
1.0
-1.035 2.679 -4.653
2.740 -1.276 -4.557
-5.743 -5.608 -5.163
Pt Th Nd
9 2 1
direct
0.587 0.081 0.745 Pt
0.333 0.333 0.001 Pt
0.500 0.500 0.500 Pt
0.667 0.667 0.999 Pt
0.413 0.413 0.255 Pt
0.919 0.413 0.255 Pt
0.587 0.587 0.745 Pt
0.413 0.919 0.255 Pt
0.081 0.587 0.745 Pt
0.137 0.137 0.588 Th
0.863 0.863 0.412 Th
0.000 0.000 0.000 Nd
```

No. 23
A plane-wave DFT calculation with PBE-GGA was carried out for NdTh2Pt after structural relaxation.

Results
The calculation puts the energy of formation from the pure elements at -0.4688 eV per atom.

Structure (POSCAR):
```
NdTh2Pt
1.0
-2.794 0.161 -2.445
-2.385 -1.031 2.657
-1.263 8.005 1.971
Th Nd Pt
2 1 1
direct
0.000 0.000 0.201 Th
0.000 0.000 0.799 Th
0.500 0.500 0.500 Nd
0.500 0.500 0.000 Pt
```